No. 1
The following is a GGA-PBE calculation of a relaxed OsI4 crystal, from OQMD.

The crystal system is monoclinic. The uncorrected energy comes out at -3.3317 eV per atom. The excess energy over the best structure of this formula in the dataset is 0 meV/atom.

The space group is P2/c (No. 13) and the conventional cell measures 7.2101, 8.2067 and 6.8551 Å, with angles of 90.00, 108.84 and 90.00 degrees. The distinct sites, in fractional coordinates, are Os at (0.0000, 0.1355, 0.2500), I at (0.2139, 0.1085, 0.9957) and I at (0.2424, 0.3556, 0.4715).

No. 2
The following is a GGA-PBE calculation of a relaxed Os2I crystal, from OQMD.

The crystal system is cubic. The uncorrected energy comes out at -4.2294 eV per atom. The excess energy over the best structure of this formula in the dataset is 1938 meV/atom.

The space group is Fd-3m (No. 227, origin choice 2) and the conventional cell measures 11.7113, 11.7113 and 11.7113 Å, with angles of 90.00, 90.00 and 90.00 degrees. The distinct sites, in fractional coordinates, are Os at (0.0000, 0.0000, 0.0000) and I at (0.1250, 0.1250, 0.1250).

No. 3
The following is a GGA-PBE calculation of a relaxed Pm4OsI5 crystal, from OQMD.

The crystal system is monoclinic. The uncorrected energy comes out at -4.8601 eV per atom.

The space group is C2/m (No. 12) and the conventional cell measures 19.6442, 4.2620 and 9.2352 Å, with angles of 90.00, 103.31 and 90.00 degrees. The distinct sites, in fractional coordinates, are Pm at (0.0000, 0.0000, 0.2085), Pm at (0.1405, 0.5000, 0.0731), Os at (0.0000, 0.5000, 0.0000), I at (0.0000, 0.5000, 0.5000), I at (0.1680, 0.0000, 0.3394) and I at (0.1735, 0.0000, 0.8327).

> Number 2 is which compound?

Os2I